No. 1
! Be5Sb (PBEsol, relaxed); values from VASP
! energy: -3.68 eV per atom
! total magnetic moment: 0.00 μB per formula unit
&SYSTEM
  ibrav = 0, nat = 6, ntyp = 2
/
ATOMIC_SPECIES
Be 9.01 Be.upf
Sb 121.76 Sb.upf
CELL_PARAMETERS angstrom
-2.588 1.236 0.589
0.449 -0.630 3.295
4.493 5.711 0.480
ATOMIC_POSITIONS crystal
Be 0.330 0.000 0.660
Be 0.822 0.500 0.645
Sb 0.094 0.500 0.188
Be 0.434 0.500 0.867
Be 0.712 0.000 0.425
Be 0.941 0.000 0.882



No. 2
! BeSb (PBEsol, relaxed); values from VASP
! energy: -3.92 eV per atom
! total magnetic moment: 0.00 μB per formula unit
&SYSTEM
  ibrav = 0, nat = 8, ntyp = 2
/
ATOMIC_SPECIES
Sb 121.76 Sb.upf
Be 9.01 Be.upf
CELL_PARAMETERS angstrom
4.082 0.000 0.000
0.000 6.035 0.000
0.000 0.000 7.006
ATOMIC_POSITIONS crystal
Sb 0.750 0.172 0.806
Sb 0.250 0.328 0.306
Sb 0.750 0.672 0.694
Sb 0.250 0.828 0.194
Be 0.250 0.286 0.648
Be 0.250 0.786 0.852
Be 0.750 0.714 0.352
Be 0.750 0.214 0.148



No. 3
! Be2Sb (PBEsol, relaxed); values from VASP
! energy: -3.53 eV per atom
! total magnetic moment: 0.00 μB per formula unit
&SYSTEM
  ibrav = 0, nat = 3, ntyp = 2
/
ATOMIC_SPECIES
Be 9.01 Be.upf
Sb 121.76 Sb.upf
CELL_PARAMETERS angstrom
3.014 0.000 0.000
0.000 3.014 0.000
-1.507 -1.507 4.978
ATOMIC_POSITIONS crystal
Be 0.282 0.282 0.565
Sb 0.000 0.000 0.000
Be 0.718 0.718 0.435



No. 4
! BeSb (PBEsol, relaxed); values from VASP
! energy: -3.37 eV per atom
! total magnetic moment: 0.00 μB per formula unit
&SYSTEM
  ibrav = 0, nat = 4, ntyp = 2
/
ATOMIC_SPECIES
Sb 121.76 Sb.upf
Be 9.01 Be.upf
CELL_PARAMETERS angstrom
-2.429 1.383 3.886
-4.222 -2.010 1.024
-0.400 -2.951 3.748
ATOMIC_POSITIONS crystal
Sb 0.250 0.250 0.250
Be 0.500 0.500 0.500
Be 0.750 0.750 0.750
Sb 0.000 0.000 0.000



The lowest energy belongs to which entry?
number 2